Compound: Na2CrGaF8
Source: Alexandria
Functional: GGA+U
Structure: optimized geometry

Final energy = -5.08 eV per atom
Space group = P2/m (10)

POSCAR file:
```
Na2CrGaF8
1.0
5.0445 0.0000 0.0000
0.0000 6.2550 0.0000
-0.2556 0.0000 5.0484
Na Cr Ga F
2 1 1 8
direct
0.0000 0.2505 0.0000
0.0000 0.7495 0.0000
0.5000 0.0000 0.5000
0.5000 0.5000 0.5000
0.2272 0.0000 0.2269
0.2354 0.5000 0.2352
0.3277 0.2497 0.6715
0.3277 0.7503 0.6715
0.6723 0.2497 0.3285
0.6723 0.7503 0.3285
0.7646 0.5000 0.7648
0.7728 0.0000 0.7731
```